1.
Here is a relaxed structure of Mg2HgGe from the Alexandria database. Energies are from PBE.

The structure in POSCAR format:
```
Mg2HgGe
1.0
-2.216 2.216 9.373
2.216 -2.216 9.373
2.216 2.216 -9.373
Mg Hg Ge
4 2 2
direct
0.122 0.625 0.997 Mg
0.375 0.372 0.497 Mg
0.628 0.125 0.003 Mg
0.875 0.878 0.503 Mg
0.250 0.750 0.500 Hg
0.500 0.500 0.000 Hg
0.000 0.000 0.000 Ge
0.750 0.250 0.500 Ge
```

Output
- Total moment: 0.00 μB/f.u.
- Final energy: -1.953 eV per atom
- Symmetry: I-42d (122)
- N(E_F): 0.502 states/eV per atom
- Energy relative to the elements: 0.07 eV per atom

2.
Here is a relaxed structure of K12SI4O3 from the Alexandria database. Energies are from PBE.

The structure in POSCAR format:
```
K12SI4O3
1.0
-5.542 5.542 5.542
5.542 -5.542 5.542
5.542 5.542 -5.542
K S I O
12 1 4 3
direct
0.000 0.269 0.269 K
0.000 0.731 0.731 K
0.250 0.500 0.750 K
0.250 0.750 0.500 K
0.269 0.000 0.269 K
0.269 0.269 0.000 K
0.500 0.250 0.750 K
0.500 0.750 0.250 K
0.731 0.000 0.731 K
0.731 0.731 0.000 K
0.750 0.250 0.500 K
0.750 0.500 0.250 K
0.000 0.000 0.000 S
0.000 0.000 0.500 I
0.000 0.500 0.000 I
0.500 0.000 0.000 I
0.500 0.500 0.500 I
0.000 0.500 0.500 O
0.500 0.000 0.500 O
0.500 0.500 0.000 O
```

Output
- Total moment: 0.21 μB/f.u.
- Final energy: -3.141 eV per atom
- ΔE_f (raw): -1.22 eV/atom
- Symmetry: Im-3m (229)

3.
Here is a relaxed structure of CsCu2PdCl8 from the Alexandria database. Energies are from PBE.

The structure in POSCAR format:
```
CsCu2PdCl8
1.0
6.041 0.000 0.000
-1.674 5.823 0.000
-2.368 -2.364 9.925
Cs Cu Pd Cl
1 2 1 8
direct
0.000 0.000 0.000 Cs
0.466 0.204 0.690 Cu
0.534 0.796 0.310 Cu
0.000 0.500 0.500 Pd
0.145 0.642 0.323 Cl
0.248 0.252 0.500 Cl
0.302 0.806 0.678 Cl
0.421 0.706 0.090 Cl
0.579 0.294 0.910 Cl
0.698 0.194 0.322 Cl
0.752 0.748 0.500 Cl
0.855 0.358 0.677 Cl
```

Output
- Total moment: 1.04 μB/f.u.
- Final energy: -3.127 eV per atom
- ΔE_f (raw): -0.71 eV/atom
- Symmetry: P-1 (2)
- N(E_F): 0.454 states/eV per atom

4.
Here is a relaxed structure of LaGe2Pd5 from the Alexandria database. Energies are from PBE.

The structure in POSCAR format:
```
LaGe2Pd5
1.0
-2.003 3.630 4.965
2.003 -3.630 4.965
2.003 3.630 -4.965
La Ge Pd
1 2 5
direct
0.000 0.000 0.000 La
0.253 0.753 0.500 Ge
0.747 0.247 0.500 Ge
0.159 0.353 0.806 Pd
0.454 0.647 0.806 Pd
0.500 0.000 0.500 Pd
0.546 0.353 0.194 Pd
0.841 0.647 0.194 Pd
```

Output
- Total moment: 0.00 μB/f.u.
- Final energy: -5.706 eV per atom
- Symmetry: Immm (71)
- N(E_F): 0.467 states/eV per atom
- Energy relative to the elements: -0.69 eV per atom

5.
Here is a relaxed structure of Sm3AlCd2 from the Alexandria database. Energies are from PBE.

The structure in POSCAR format:
```
Sm3AlCd2
1.0
5.335 0.000 0.000
-2.667 4.620 0.000
0.000 0.000 6.553
Sm Al Cd
3 1 2
direct
0.000 0.000 0.000 Sm
0.333 0.667 0.659 Sm
0.667 0.333 0.341 Sm
0.000 0.000 0.500 Al
0.333 0.667 0.160 Cd
0.667 0.333 0.840 Cd
```

Output
- Total moment: 0.00 μB/f.u.
- Final energy: -3.613 eV per atom
- Symmetry: P-3m1 (164)
- N(E_F): 1.414 states/eV per atom
- Energy relative to the elements: -0.32 eV per atom

6.
Here is a relaxed structure of PrSm6Tl5 from the Alexandria database. Energies are from PBE.

The structure in POSCAR format:
```
PrSm6Tl5
1.0
-2.558 4.485 7.763
2.558 -4.485 7.763
2.558 4.485 -7.763
Pr Sm Tl
1 6 5
direct
0.000 0.000 0.000 Pr
0.093 0.829 0.264 Sm
0.274 0.500 0.774 Sm
0.435 0.171 0.264 Sm
0.565 0.829 0.736 Sm
0.726 0.500 0.226 Sm
0.907 0.171 0.736 Sm
0.151 0.651 0.500 Tl
0.322 0.322 0.000 Tl
0.500 0.000 0.500 Tl
0.678 0.678 0.000 Tl
0.849 0.349 0.500 Tl
```

Output
- Total moment: 0.00 μB/f.u.
- Final energy: -4.039 eV per atom
- Symmetry: Immm (71)
- N(E_F): 1.082 states/eV per atom
- Energy relative to the elements: -0.30 eV per atom

- Which value of total moment does entry 5 give?
  0.00 μB/f.u.

Copy entry 5 word for word.
Here is a relaxed structure of Sm3AlCd2 from the Alexandria database. Energies are from PBE.

The structure in POSCAR format:
```
Sm3AlCd2
1.0
5.335 0.000 0.000
-2.667 4.620 0.000
0.000 0.000 6.553
Sm Al Cd
3 1 2
direct
0.000 0.000 0.000 Sm
0.333 0.667 0.659 Sm
0.667 0.333 0.341 Sm
0.000 0.000 0.500 Al
0.333 0.667 0.160 Cd
0.667 0.333 0.840 Cd
```

Output
- Total moment: 0.00 μB/f.u.
- Final energy: -3.613 eV per atom
- Symmetry: P-3m1 (164)
- N(E_F): 1.414 states/eV per atom
- Energy relative to the elements: -0.32 eV per atom